# 1
CdRh7Pb12: optimized geometry, GGA-PBE.

The structure in CIF format:
```
data_CdRh7Pb12
_symmetry_space_group_name_H-M 'R -3'
_symmetry_Int_Tables_number 148
_symmetry_space_group_name_Hall '-R 3'
_cell_length_a 15.7771
_cell_length_b 15.7771
_cell_length_c 6.9401
_cell_angle_alpha 90.00
_cell_angle_beta 90.00
_cell_angle_gamma 120.00
loop_
_atom_site_label
_atom_site_fract_x
_atom_site_fract_y
_atom_site_fract_z
Cd1 0.0000 0.0000 0.0000
Rh1 0.0000 0.0000 0.5000
Rh2 0.0418 0.1842 0.8924
Pb1 0.0020 0.5705 0.6913
Pb2 0.0375 0.1727 0.3047
```

Results
**Fermi-level density of states**: 35.42 states/eV/cell
**ΔH_f (0 K)**: 0.0104 eV per atom



# 2
YTcRu2: optimized geometry, GGA-PBE.

The structure in CIF format:
```
data_YTcRu2
_symmetry_space_group_name_H-M 'P 4 m m'
_symmetry_Int_Tables_number 99
_cell_length_a 2.9677
_cell_length_b 2.9677
_cell_length_c 7.7702
_cell_angle_alpha 90.00
_cell_angle_beta 90.00
_cell_angle_gamma 90.00
loop_
_symmetry_equiv_pos_as_xyz
'x,y,z'
'-y,x,z'
'-x,-y,z'
'y,-x,z'
'-x,y,z'
'y,x,z'
'x,-y,z'
'-y,-x,z'
loop_
_atom_site_label
_atom_site_fract_x
_atom_site_fract_y
_atom_site_fract_z
Y1 0.0000 0.0000 0.0000
Tc1 0.5000 0.5000 0.7023
Ru1 0.0000 0.0000 0.5012
Ru2 0.5000 0.5000 0.2807
```

Results
**Fermi-level density of states**: 6.59 states/eV/cell
**ΔH_f (0 K)**: 0.2624 eV per atom
**E above lowest polymorph**: 0.713 eV per formula unit



# 3
Li4TlCd: optimized geometry, GGA-PBE.

The structure in CIF format:
```
data_Li4TlCd
_symmetry_space_group_name_H-M 'P 4/m m m'
_symmetry_Int_Tables_number 123
_symmetry_space_group_name_Hall '-P 4 2'
_cell_length_a 3.4581
_cell_length_b 3.4581
_cell_length_c 9.5133
_cell_angle_alpha 90.00
_cell_angle_beta 90.00
_cell_angle_gamma 90.00
loop_
_atom_site_label
_atom_site_fract_x
_atom_site_fract_y
_atom_site_fract_z
Li1 0.0000 0.0000 0.1618
Li2 0.5000 0.5000 0.3253
Tl1 0.0000 0.0000 0.5000
Cd1 0.5000 0.5000 0.0000
```

Results
**Fermi-level density of states**: 2.36 states/eV/cell
**ΔH_f (0 K)**: -0.2039 eV per atom
**E above lowest polymorph**: 0.063 eV per formula unit



# 4
Re2SiCl: optimized geometry, GGA-PBE.

The structure in CIF format:
```
data_Re2SiCl
_symmetry_space_group_name_H-M 'I -4 m 2'
_symmetry_Int_Tables_number 119
_symmetry_space_group_name_Hall 'I -4 -2'
_cell_length_a 4.0341
_cell_length_b 4.0341
_cell_length_c 7.3641
_cell_angle_alpha 90.00
_cell_angle_beta 90.00
_cell_angle_gamma 90.00
loop_
_atom_site_label
_atom_site_fract_x
_atom_site_fract_y
_atom_site_fract_z
Re1 0.0000 0.0000 0.0000
Re2 0.0000 0.5000 0.2500
Si1 0.0000 0.5000 0.7500
Cl1 0.0000 0.0000 0.5000
```

Results
**Fermi-level density of states**: 6.70 states/eV/cell
**E above lowest polymorph**: 2.830 eV per formula unit
**Energy relative to the elements, uncorrected**: 0.97 eV per atom



Number 1: total magnetization 0.00 μB per formula unit. Number 2: total magnetization 0.00 μB per formula unit. Number 3: total magnetization 0.00 μB per formula unit. Number 4: total magnetization 0.00 μB per formula unit.